No. 1
Density functional theory data (PBE) for a relaxed Na2SrSb crystal.

Cell and atoms, written as POSCAR:
```
Na2SrSb
1.0
4.810 0.000 0.000
0.000 4.810 0.000
2.405 2.405 12.131
Sb Na Sr
2 4 2
Cartesian
4.810 2.405 6.066
0.000 0.000 0.000
3.608 3.377 9.099
6.013 6.244 9.099
0.972 3.608 3.033
3.839 1.203 3.033
2.405 4.810 6.066
2.405 2.405 0.000
```

## Properties
Its total magnetization is 0.00 μB/f.u. The calculation puts the calculated volume at 280.7 Å³/cell. The space group is No. 122. The crystal system is tetragonal. For the raw total energy, the calculation gives -2.450 eV/atom.

---

No. 2
Density functional theory data (PBE) for a relaxed Nd2ErAu4 crystal.

Cell and atoms, written as POSCAR:
```
Nd2ErAu4
1.0
5.294 0.000 0.000
0.000 5.294 0.000
-2.647 -2.647 7.572
Au Nd Er
4 2 1
Cartesian
0.000 0.000 2.786
2.647 0.000 0.000
2.647 2.647 4.786
0.000 2.647 0.000
0.000 0.000 5.731
2.647 2.647 1.840
0.000 0.000 0.000
```

## Properties
As for the formation energy: -331 meV/atom. Its total magnetization is 0.00 μB/f.u. The calculation puts the calculated volume at 212.2 Å³/cell. The space group is No. 139. The crystal system is tetragonal. For the raw total energy, the calculation gives -4.218 eV/atom. For the excess energy over the best structure of this formula in the dataset, the calculation gives 343 meV per atom.

---

No. 3
Density functional theory data (PBE) for a relaxed InPW crystal.

Cell and atoms, written as POSCAR:
```
InPW
1.0
-4.359 -0.421 -0.191
-1.789 -3.903 -0.884
-2.129 -2.197 3.139
P In W
1 1 1
Cartesian
-4.138 -3.260 1.032
0.000 0.000 0.000
-6.208 -4.890 1.548
```

## Properties
As for the formation energy: 879 meV/atom. Its total magnetization is 0.00 μB/f.u. The calculation puts the calculated volume at 59.6 Å³/cell. The space group is No. 216. The crystal system is cubic. For the raw total energy, the calculation gives -6.155 eV/atom. For the excess energy over the best structure of this formula in the dataset, the calculation gives 812 meV per atom.

---

No. 4
Density functional theory data (PBE) for a relaxed Sm3Ho5Tm2 crystal.

Cell and atoms, written as POSCAR:
```
Sm3Ho5Tm2
1.0
-4.835 2.369 7.731
-8.869 2.207 -2.119
4.738 -9.835 -1.817
Ho Sm Tm
10 6 4
Cartesian
-4.566 -1.578 6.238
-6.570 -1.612 1.307
-3.232 -6.631 2.880
-6.019 -3.757 3.974
-2.396 -3.647 2.489
-5.734 1.372 0.916
-4.400 -3.681 -2.442
-2.948 -1.502 -0.178
0.551 -5.946 1.320
-9.518 0.687 2.476
-2.406 -5.555 -0.409
-5.797 -0.726 -1.957
-3.693 1.539 5.830
-5.274 -6.798 -2.034
-6.560 0.296 4.205
-3.170 -4.533 5.753
-5.172 -4.521 0.721
-8.620 0.106 -0.800
-3.795 -0.738 3.075
-0.347 -5.365 4.596
```

## Properties
As for the formation energy: 198 meV/atom. Its total magnetization is 0.00 μB/f.u. The calculation puts the calculated volume at 651.7 Å³/cell. The space group is No. 15. The crystal system is monoclinic. For the raw total energy, the calculation gives -4.401 eV/atom.

---

No. 5
Density functional theory data (PBE) for a relaxed CePrGaCu crystal.

Cell and atoms, written as POSCAR:
```
CePrGaCu
1.0
5.159 0.000 0.000
2.579 4.468 0.000
2.579 1.489 4.212
Cu Ce Pr Ga
1 1 1 1
Cartesian
5.159 2.978 2.106
7.738 4.468 3.159
2.579 1.489 1.053
0.000 0.000 0.000
```

## Properties
As for the formation energy: -254 meV/atom. Its total magnetization is 1.19 μB/f.u. The calculation puts the calculated volume at 97.1 Å³/cell. The space group is No. 216. The crystal system is cubic. For the raw total energy, the calculation gives -4.713 eV/atom.

---

No. 6
Density functional theory data (PBE) for a relaxed TcHgCl2 crystal.

Cell and atoms, written as POSCAR:
```
TcHgCl2
1.0
7.526 0.000 0.000
0.000 7.526 0.000
3.763 3.763 4.109
Tc Hg Cl
2 2 4
Cartesian
3.763 3.763 0.000
3.763 7.526 2.054
0.000 0.000 0.000
7.526 3.763 2.054
2.967 5.645 1.027
4.559 1.882 1.027
9.408 8.322 3.081
5.645 6.730 3.081
```

## Properties
Its total magnetization is 0.00 μB/f.u. The calculation puts the calculated volume at 232.7 Å³/cell. The space group is No. 122. The crystal system is tetragonal. For the raw total energy, the calculation gives -3.474 eV/atom. For the excess energy over the best structure of this formula in the dataset, the calculation gives 263 meV per atom.

---

No. 7
Density functional theory data (PBE) for a relaxed LiSnS2 crystal.

Cell and atoms, written as POSCAR:
```
LiSnS2
1.0
3.754 0.023 -1.002
-0.144 8.228 1.383
-1.993 2.693 7.213
Sn S Li
2 4 2
Cartesian
0.455 3.335 1.546
0.473 7.561 2.359
0.972 3.056 3.857
-0.991 6.843 4.372
2.119 2.056 0.184
-1.765 8.266 7.854
-0.738 4.468 4.970
-0.264 8.741 5.882
```

## Properties
Its total magnetization is 0.00 μB/f.u. The calculation puts the calculated volume at 192.7 Å³/cell. The space group is No. 1. The crystal system is triclinic. For the raw total energy, the calculation gives -4.275 eV/atom.

---

No. 8
Density functional theory data (PBE) for a relaxed Rb3Tl3CdBr8 crystal.

Cell and atoms, written as POSCAR:
```
Rb3Tl3CdBr8
1.0
9.682 0.000 0.000
-4.841 8.386 -0.027
0.000 -5.562 7.738
Br Rb Tl Cd
8 3 3 1
Cartesian
7.668 -3.939 5.538
2.827 6.762 2.173
0.000 2.801 1.874
2.014 -3.939 5.538
-2.827 6.762 2.173
0.000 -0.449 5.530
4.841 3.273 2.181
4.841 0.023 5.837
2.420 1.412 3.856
4.841 -2.781 3.869
-2.420 1.412 3.856
0.000 0.000 0.000
-2.420 4.193 -0.013
2.420 4.193 -0.013
0.000 -2.781 3.869
```

## Properties
Its total magnetization is 0.00 μB/f.u. The calculation puts the calculated volume at 626.8 Å³/cell. The space group is No. 166. The crystal system is trigonal. For the raw total energy, the calculation gives -2.836 eV/atom.

---

No. 9
Density functional theory data (PBE) for a relaxed RbCrSi3 crystal.

Cell and atoms, written as POSCAR:
```
RbCrSi3
1.0
-1.393 4.308 0.859
-3.764 -0.706 -2.563
-2.265 -1.476 3.732
Si Cr Rb
3 1 1
Cartesian
-1.132 -0.738 1.866
-0.696 2.154 0.430
-1.882 -0.353 -1.282
0.000 0.000 0.000
-3.711 1.063 1.014
```

## Properties
Its total magnetization is 0.00 μB/f.u. The calculation puts the calculated volume at 97.9 Å³/cell. The space group is No. 221. The crystal system is cubic. For the raw total energy, the calculation gives -5.136 eV/atom. For the excess energy over the best structure of this formula in the dataset, the calculation gives 0 meV per atom.

---

No. 10
Density functional theory data (PBE) for a relaxed PrAsPd crystal.

Cell and atoms, written as POSCAR:
```
PrAsPd
1.0
4.400 0.000 0.000
-2.200 3.811 0.000
0.000 0.000 7.922
Pr Pd As
2 2 2
Cartesian
0.000 0.000 3.961
0.000 0.000 0.000
0.000 2.540 1.980
2.200 1.270 5.941
0.000 2.540 5.941
2.200 1.270 1.980
```

## Properties
As for the formation energy: -1179 meV/atom. Its total magnetization is 0.00 μB/f.u. The calculation puts the calculated volume at 132.8 Å³/cell. The space group is No. 194. The crystal system is hexagonal. For the raw total energy, the calculation gives -6.052 eV/atom.

---

No. 11
Density functional theory data (PBE) for a relaxed Sr2Ag2Au crystal.

Cell and atoms, written as POSCAR:
```
Sr2Ag2Au
1.0
-5.267 -5.407 2.553
2.916 0.648 7.387
-2.886 3.216 0.857
Ag Sr Au
4 4 2
Cartesian
-2.926 -3.295 2.512
-2.793 -4.331 6.848
0.575 -1.464 7.429
0.442 -0.428 3.093
-2.609 -0.009 2.572
-4.831 -2.621 4.893
-0.407 1.078 5.905
-2.628 -1.533 8.226
0.000 0.000 0.000
-1.176 -2.380 4.970
```

## Properties
As for the formation energy: -366 meV/atom. Its total magnetization is 0.00 μB/f.u. The calculation puts the calculated volume at 279.8 Å³/cell. The space group is No. 127. The crystal system is tetragonal. For the raw total energy, the calculation gives -2.834 eV/atom. For the excess energy over the best structure of this formula in the dataset, the calculation gives 87 meV per atom.

---

No. 12
Density functional theory data (PBE) for a relaxed LiPm2Ga4Rh3 crystal.

Cell and atoms, written as POSCAR:
```
LiPm2Ga4Rh3
1.0
-0.461 -1.846 3.877
3.719 -2.122 -0.567
4.996 7.628 4.225
Li Pm Ga Rh
1 2 4 3
Cartesian
4.127 1.830 3.768
1.017 0.981 2.994
5.609 4.663 2.887
0.000 0.000 0.000
1.629 -1.984 1.655
2.889 3.840 4.577
3.736 1.804 1.303
2.498 3.814 2.113
2.510 -0.067 0.267
4.115 5.712 5.614
```

## Properties
As for the formation energy: -682 meV/atom. Its total magnetization is 0.00 μB/f.u. The calculation puts the calculated volume at 187.5 Å³/cell. The space group is No. 115. The crystal system is tetragonal. For the raw total energy, the calculation gives -5.239 eV/atom.

---

No. 13
Density functional theory data (PBE) for a relaxed RbTlGaPb crystal.

Cell and atoms, written as POSCAR:
```
RbTlGaPb
1.0
-5.631 -0.564 -0.155
-2.476 -4.402 2.560
-3.057 0.809 4.697
Tl Rb Pb Ga
1 1 1 1
Cartesian
-8.373 -3.117 5.326
-5.582 -2.078 3.551
0.000 0.000 0.000
-2.791 -1.039 1.775
```

## Properties
As for the formation energy: 56 meV/atom. Its total magnetization is 0.00 μB/f.u. The calculation puts the calculated volume at 128.3 Å³/cell. The space group is No. 216. The crystal system is cubic. For the raw total energy, the calculation gives -2.461 eV/atom.

---

No. 14
Density functional theory data (PBE) for a relaxed ZrHg2 crystal.

Cell and atoms, written as POSCAR:
```
ZrHg2
1.0
-2.607 -1.972 -0.191
1.939 -0.100 2.637
-4.148 5.170 3.248
Zr Hg
1 2
Cartesian
-2.474 0.375 1.834
-0.016 0.020 0.013
-2.325 2.702 3.847
```

## Properties
As for the formation energy: -3 meV/atom. Its total magnetization is 0.00 μB/f.u. The calculation puts the calculated volume at 68.5 Å³/cell. The space group is No. 164. The crystal system is trigonal. For the raw total energy, the calculation gives -3.054 eV/atom.

---

No. 15
Density functional theory data (PBE) for a relaxed CaGd3 crystal.

Cell and atoms, written as POSCAR:
```
CaGd3
1.0
5.172 0.000 0.000
0.000 5.172 0.000
0.000 0.000 5.172
Gd Ca
3 1
Cartesian
0.000 2.586 2.586
2.586 0.000 2.586
2.586 2.586 0.000
0.000 0.000 0.000
```

## Properties
As for the formation energy: 102 meV/atom. Its total magnetization is 23.51 μB/f.u. The calculation puts the calculated volume at 138.4 Å³/cell. The space group is No. 221. The crystal system is cubic. For the raw total energy, the calculation gives -10.959 eV/atom.

---

No. 16
Density functional theory data (PBE) for a relaxed Sc4AsPSe2 crystal.

Cell and atoms, written as POSCAR:
```
Sc4AsPSe2
1.0
3.832 0.000 0.000
0.000 6.719 -0.158
0.000 2.341 6.216
Sc P Se As
4 1 2 1
Cartesian
1.916 3.549 4.533
1.916 5.510 1.525
3.833 2.385 1.517
0.000 6.674 4.541
0.000 4.530 3.029
1.916 1.170 3.108
0.000 2.341 6.216
1.916 5.700 6.137
```

## Properties
Its total magnetization is 0.00 μB/f.u. The calculation puts the calculated volume at 161.5 Å³/cell. The space group is No. 10. The crystal system is monoclinic. For the raw total energy, the calculation gives -6.880 eV/atom.

---

No. 17
Density functional theory data (PBE) for a relaxed CsRb2Pr crystal.

Cell and atoms, written as POSCAR:
```
CsRb2Pr
1.0
4.203 0.000 0.000
2.101 3.640 0.000
2.101 1.213 17.022
Cs Rb Pr
1 2 1
Cartesian
4.203 2.427 8.511
6.304 3.640 3.922
2.101 1.213 13.100
0.000 0.000 0.000
```

## Properties
As for the formation energy: 474 meV/atom. Its total magnetization is 0.28 μB/f.u. The calculation puts the calculated volume at 260.4 Å³/cell. The space group is No. 166. The crystal system is trigonal. For the raw total energy, the calculation gives -1.418 eV/atom.

---

No. 18
Density functional theory data (PBE) for a relaxed AlTc2Ru crystal.

Cell and atoms, written as POSCAR:
```
AlTc2Ru
1.0
7.043 0.000 0.000
0.000 7.043 0.000
3.521 3.521 2.562
Tc Ru Al
4 2 2
Cartesian
5.282 5.144 1.922
8.804 8.942 1.922
5.421 1.761 0.641
1.622 5.282 0.641
7.043 3.521 1.281
0.000 0.000 0.000
3.521 3.521 0.000
3.521 7.043 1.281
```

## Properties
As for the formation energy: 517 meV/atom. Its total magnetization is 0.00 μB/f.u. The calculation puts the calculated volume at 127.1 Å³/cell. The space group is No. 122. The crystal system is tetragonal. For the raw total energy, the calculation gives -7.921 eV/atom. For the excess energy over the best structure of this formula in the dataset, the calculation gives 766 meV per atom.

---

No. 19
Density functional theory data (PBE) for a relaxed Pm6Pr2Y3In crystal.

Cell and atoms, written as POSCAR:
```
Pm6Pr2Y3In
1.0
6.228 -0.006 -0.003
-3.117 5.391 -0.003
-1.036 -1.794 11.758
Pr Y Pm In
2 3 6 1
Cartesian
3.110 1.795 -0.003
0.001 3.591 -0.003
-2.076 3.594 5.876
1.037 1.796 5.876
4.150 -0.002 5.876
-1.014 1.754 2.941
-0.024 -0.042 8.805
0.048 3.594 8.810
3.089 1.838 8.810
2.026 -0.002 2.941
2.099 3.634 2.947
0.000 0.000 0.000
```

## Properties
As for the formation energy: -54 meV/atom. Its total magnetization is 0.00 μB/f.u. The calculation puts the calculated volume at 394.5 Å³/cell. The space group is No. 12. The crystal system is monoclinic. For the raw total energy, the calculation gives -5.070 eV/atom.

---

No. 20
Density functional theory data (PBE) for a relaxed Li2AlHgN crystal.

Cell and atoms, written as POSCAR:
```
Li2AlHgN
1.0
4.341 0.000 0.000
0.000 4.341 0.000
0.000 0.000 3.705
Hg Li Al N
1 2 1 1
Cartesian
2.170 2.170 1.853
0.000 2.170 0.000
2.170 0.000 0.000
0.000 0.000 1.853
0.000 0.000 0.000
```

## Properties
Its total magnetization is 0.00 μB/f.u. The calculation puts the calculated volume at 69.8 Å³/cell. The space group is No. 123. The crystal system is tetragonal. For the raw total energy, the calculation gives -3.672 eV/atom.